# 1
Density functional theory data (GGA-PBE) for a relaxed TbCeDy4 crystal.

Geometry as POSCAR:
```
TbCeDy4
1.0
-3.312 5.748 5.035
3.312 -5.748 5.035
3.312 5.748 -5.035
Tb Ce Dy
2 2 8
Direct
0.500 0.000 0.000
0.500 0.500 0.500
0.000 0.000 0.000
0.500 0.000 0.500
0.165 0.667 0.498
0.167 0.165 0.499
0.167 0.668 0.001
0.332 0.333 0.998
0.668 0.667 0.002
0.833 0.332 0.999
0.833 0.835 0.501
0.835 0.333 0.502
```

Calculated values
total magnetization = 2.95 μB per cell
ΔH_f (0 K) = 0.275 eV/atom

***

# 2
Density functional theory data (GGA-PBE) for a relaxed Tb3CeDy8 crystal.

Geometry as POSCAR:
```
Tb3CeDy8
1.0
-3.825 3.825 7.661
3.825 -3.825 7.661
3.825 3.825 -7.661
Tb Ce Dy
3 1 8
Direct
0.000 0.000 0.000
0.250 0.750 0.500
0.750 0.250 0.500
0.500 0.500 0.000
0.129 0.129 0.505
0.129 0.624 0.000
0.376 0.376 0.505
0.376 0.871 0.000
0.624 0.129 0.000
0.624 0.624 0.495
0.871 0.376 0.000
0.871 0.871 0.495
```

Calculated values
total magnetization = 1.61 μB per cell
ΔH_f (0 K) = 0.767 eV/atom

***

# 3
Density functional theory data (GGA-PBE) for a relaxed Tb6CeDy crystal.

Geometry as POSCAR:
```
Tb6CeDy
1.0
5.026 0.000 0.000
0.000 5.026 0.000
0.000 0.000 10.041
Tb Ce Dy
6 1 1
Direct
0.000 0.000 0.000
0.000 0.000 0.500
0.000 0.500 0.249
0.000 0.500 0.751
0.500 0.000 0.249
0.500 0.000 0.751
0.500 0.500 0.000
0.500 0.500 0.500
```

Calculated values
total magnetization = 0.87 μB per cell
ΔH_f (0 K) = 0.044 eV/atom

***

# 4
Density functional theory data (GGA-PBE) for a relaxed Tb6CeDy3 crystal.

Geometry as POSCAR:
```
Tb6CeDy3
1.0
6.149 0.000 0.000
1.043 6.070 0.000
3.068 2.584 8.494
Tb Ce Dy
6 1 3
Direct
0.099 0.001 0.300
0.204 0.500 0.600
0.301 0.998 0.898
0.699 0.002 0.102
0.796 0.500 0.400
0.901 0.999 0.700
0.500 0.000 0.500
0.000 0.500 0.000
0.401 0.497 0.201
0.599 0.503 0.799
```

Calculated values
total magnetization = 1.07 μB per cell
ΔH_f (0 K) = 0.037 eV/atom

***

# 5
Density functional theory data (GGA-PBE) for a relaxed TbCeDy14 crystal.

Geometry as POSCAR:
```
TbCeDy14
1.0
7.086 0.000 0.000
0.000 7.086 0.000
0.000 0.000 10.020
Tb Ce Dy
1 1 14
Direct
0.000 0.000 0.000
0.500 0.500 0.000
0.000 0.000 0.500
0.000 0.500 0.000
0.000 0.500 0.500
0.251 0.251 0.250
0.251 0.251 0.750
0.251 0.749 0.250
0.251 0.749 0.750
0.500 0.000 0.000
0.500 0.000 0.500
0.500 0.500 0.500
0.749 0.251 0.250
0.749 0.251 0.750
0.749 0.749 0.250
0.749 0.749 0.750
```

Calculated values
total magnetization = 0.86 μB per cell
ΔH_f (0 K) = 0.027 eV/atom

***

# 6
Density functional theory data (GGA-PBE) for a relaxed Tb4CeDy8 crystal.

Geometry as POSCAR:
```
Tb4CeDy8
1.0
3.643 2.104 8.911
-3.643 2.104 8.911
0.000 -4.207 8.911
Tb Ce Dy
4 1 8
Direct
0.000 0.000 0.000
0.000 0.500 0.500
0.500 0.000 0.500
0.500 0.500 0.000
0.500 0.500 0.500
0.198 0.745 0.745
0.221 0.221 0.221
0.255 0.255 0.802
0.255 0.802 0.255
0.745 0.198 0.745
0.745 0.745 0.198
0.779 0.779 0.779
0.802 0.255 0.255
```

Calculated values
total magnetization = 0.02 μB per cell
ΔH_f (0 K) = 0.165 eV/atom

***

# 7
Density functional theory data (GGA-PBE) for a relaxed Tb3CeDy4 crystal.

Geometry as POSCAR:
```
Tb3CeDy4
1.0
11.637 -1.712 0.000
11.637 1.712 0.000
-1.949 0.000 6.450
Tb Ce Dy
3 1 4
Direct
0.000 0.000 0.000
0.125 0.125 0.382
0.875 0.875 0.618
0.500 0.500 0.500
0.125 0.125 0.866
0.259 0.259 0.258
0.741 0.741 0.742
0.875 0.875 0.134
```

Calculated values
total magnetization = 0.83 μB per cell
ΔH_f (0 K) = 0.190 eV/atom

***

# 8
Density functional theory data (GGA-PBE) for a relaxed Tb2CeDy9 crystal.

Geometry as POSCAR:
```
Tb2CeDy9
1.0
5.011 0.000 0.000
0.000 5.011 0.000
0.000 0.000 15.031
Tb Ce Dy
2 1 9
Direct
0.000 0.000 0.168
0.000 0.000 0.832
0.000 0.000 0.500
0.000 0.500 0.000
0.000 0.500 0.335
0.000 0.500 0.665
0.500 0.000 0.000
0.500 0.000 0.335
0.500 0.000 0.665
0.500 0.500 0.166
0.500 0.500 0.500
0.500 0.500 0.834
```

Calculated values
total magnetization = 0.86 μB per cell
ΔH_f (0 K) = 0.035 eV/atom

***

# 9
Density functional theory data (GGA-PBE) for a relaxed Tb2CeDy crystal.

Geometry as POSCAR:
```
Tb2CeDy
1.0
1.707 0.986 12.316
-1.707 0.986 12.316
0.000 -1.971 12.316
Tb Ce Dy
2 1 1
Direct
0.089 0.089 0.089
0.911 0.911 0.911
0.000 0.000 0.000
0.500 0.500 0.500
```

Calculated values
total magnetization = 0.70 μB per cell
ΔH_f (0 K) = 0.176 eV/atom

***

# 10
Density functional theory data (GGA-PBE) for a relaxed Tb4CeDy10 crystal.

Geometry as POSCAR:
```
Tb4CeDy10
1.0
-6.051 6.051 3.832
6.051 -6.051 3.832
6.051 6.051 -3.832
Tb Ce Dy
4 1 10
Direct
0.101 0.298 0.400
0.298 0.899 0.197
0.702 0.101 0.803
0.899 0.702 0.600
0.500 0.500 0.000
0.055 0.155 0.704
0.155 0.452 0.100
0.250 0.750 0.500
0.351 0.055 0.900
0.452 0.351 0.296
0.548 0.649 0.704
0.649 0.945 0.100
0.750 0.250 0.500
0.845 0.548 0.900
0.945 0.845 0.296
```

Calculated values
total magnetization = 1.75 μB per cell
ΔH_f (0 K) = 0.761 eV/atom

***

# 11
Density functional theory data (GGA-PBE) for a relaxed Tb2CeDy crystal.

Geometry as POSCAR:
```
Tb2CeDy
1.0
3.531 0.000 0.000
0.000 3.531 0.000
0.000 0.000 10.025
Tb Ce Dy
2 1 1
Direct
0.000 0.000 0.246
0.000 0.000 0.754
0.500 0.500 0.000
0.500 0.500 0.500
```

Calculated values
total magnetization = 0.61 μB per cell
ΔH_f (0 K) = 0.060 eV/atom

***

# 12
Density functional theory data (GGA-PBE) for a relaxed Tb8CeDy6 crystal.

Geometry as POSCAR:
```
Tb8CeDy6
1.0
4.503 2.600 6.860
-4.503 2.600 6.860
0.000 -5.199 6.860
Tb Ce Dy
8 1 6
Direct
0.077 0.077 0.077
0.218 0.612 0.252
0.252 0.218 0.612
0.388 0.748 0.782
0.612 0.252 0.218
0.748 0.782 0.388
0.782 0.388 0.748
0.923 0.923 0.923
0.500 0.500 0.500
0.039 0.604 0.733
0.267 0.961 0.396
0.396 0.267 0.961
0.604 0.733 0.039
0.733 0.039 0.604
0.961 0.396 0.267
```

Calculated values
total magnetization = 1.17 μB per cell
ΔH_f (0 K) = 0.129 eV/atom

***

no.,E_tot (eV per atom)
1,-4.55
2,-3.95
3,-4.75
4,-4.72
5,-4.66
6,-4.55
7,-4.59
8,-4.68
9,-4.77
10,-3.94
11,-4.89
12,-4.58